1.
First-principles (GGA-PBE) data for crystalline RbBaPS4 at its relaxed geometry, as listed in the Alexandria database.

The space group is Pnma (No. 62) and the conventional cell measures 12.042, 6.841 and 10.089 Å, with angles of 90.00, 90.00 and 90.00 degrees. The asymmetric unit holds Rb at (0.099, 0.250, 0.158), Ba at (0.146, 0.250, 0.611), P at (0.176, 0.750, 0.392), S at (0.079, 0.750, 0.224), S at (0.083, 0.750, 0.564) and S at (0.225, 0.006, 0.886).

For the offset from the most stable computed form, the calculation gives 2.9 meV per atom. The value obtained for the calculated volume is 29.7 A^3/atom. As for the formation energy from raw total energies: -1.20 eV/atom. The calculation puts the energy at -4.7429 eV per atom.

---

2.
First-principles (GGA-PBE) data for crystalline RbBaPS4 at its relaxed geometry, as listed in the Alexandria database.

The space group is P2_1/m (No. 11) and the conventional cell measures 6.835, 6.804 and 9.626 Å, with angles of 90.00, 105.37 and 90.00 degrees. The asymmetric unit holds Rb at (0.226, 0.250, 0.442), Ba at (0.273, 0.250, 0.964), P at (0.310, 0.750, 0.203), S at (0.100, 0.750, 0.320), S at (0.177, 0.750, 0.983) and S at (0.495, 0.507, 0.248).

For the offset from the most stable computed form, the calculation gives 0.0 meV per atom. The value obtained for the calculated volume is 30.8 A^3/atom. As for the formation energy from raw total energies: -1.20 eV/atom. The calculation puts the energy at -4.7458 eV per atom.

---

3.
First-principles (GGA-PBE) data for crystalline RbBaPS2 at its relaxed geometry, as listed in the Alexandria database.

The space group is P4/mmm (No. 123) and the conventional cell measures 5.615, 5.615 and 5.328 Å, with angles of 90.00, 90.00 and 90.00 degrees. The asymmetric unit holds Rb at (0.000, 0.000, 0.000), Ba at (0.500, 0.500, 0.500), P at (0.000, 0.000, 0.500) and S at (0.000, 0.500, 0.000).

For the offset from the most stable computed form, the calculation gives 335.0 meV per atom. The value obtained for the calculated volume is 33.6 A^3/atom. As for the formation energy from raw total energies: 0.29 eV/atom. The calculation puts the energy at -3.0252 eV per atom.

---

4.
First-principles (GGA-PBE) data for crystalline RbBaPS2 at its relaxed geometry, as listed in the Alexandria database.

The space group is P4/mmm (No. 123) and the conventional cell measures 6.016, 6.016 and 6.319 Å, with angles of 90.00, 90.00 and 90.00 degrees. The asymmetric unit holds Rb at (0.000, 0.000, 0.000), Ba at (0.500, 0.500, 0.500), P at (0.500, 0.500, 0.000) and S at (0.000, 0.500, 0.500).

For the offset from the most stable computed form, the calculation gives 0.0 meV per atom. The value obtained for the calculated volume is 45.7 A^3/atom. As for the formation energy from raw total energies: -0.05 eV/atom. The calculation puts the energy at -3.3602 eV per atom.

---

5.
First-principles (GGA-PBE) data for crystalline RbBaP2S at its relaxed geometry, as listed in the Alexandria database.

The space group is P4/mmm (No. 123) and the conventional cell measures 5.439, 5.439 and 5.760 Å, with angles of 90.00, 90.00 and 90.00 degrees. The asymmetric unit holds Rb at (0.000, 0.000, 0.000), Ba at (0.500, 0.500, 0.500), P at (0.000, 0.500, 0.000) and S at (0.000, 0.000, 0.500).

For the offset from the most stable computed form, the calculation gives 290.4 meV per atom. The value obtained for the calculated volume is 34.1 A^3/atom. As for the formation energy from raw total energies: 0.64 eV/atom. The calculation puts the energy at -2.9309 eV per atom.

---

6.
First-principles (GGA-PBE) data for crystalline RbBa2P2S6 at its relaxed geometry, as listed in the Alexandria database.

The space group is R-3m (No. 166, hexagonal axes) and the conventional cell measures 6.7458, 6.7458 and 26.7034 Å, with angles of 90.00, 90.00 and 120.00 degrees. The asymmetric unit holds Rb at (0.0000, 0.0000, 0.0000), Ba at (0.0000, 0.0000, 0.2088), P at (0.0000, 0.0000, 0.4124) and S at (0.0033, 0.5017, 0.7701).

The value obtained for the calculated volume is 31.9 A^3/atom. As for the formation energy from raw total energies: -1.01 eV/atom. The calculation puts the energy at -4.6849 eV per atom.

---

The calculation returns the following magnetization values, one per record and in order: 0.00, 0.00, 0.00, 4.04, 1.49, 0.00 μB/cell.
The calculation returns the following ρ values, one per record and in order: 3.05, 2.94, 3.14, 2.31, 3.09, 2.91 g cm⁻³.